No. 1
DFT (PBE) results for LiHoCdBr6 after structural relaxation.

Properties
**Total moment**: 0.00 μB/f.u.
**Formation energy without anion corrections**: -1.417 eV per atom
**VASP energy**: -3.3557 eV/atom

Cell: 7.014 7.014 12.805 Å, 90.00 90.00 120.00°
Fractional positions:
Li (0.000, 0.000, 0.000)
Li (0.000, 0.000, 0.500)
Ho (0.333, 0.667, 0.250)
Ho (0.667, 0.333, 0.750)
Cd (0.333, 0.667, 0.750)
Cd (0.667, 0.333, 0.250)
Br (0.002, 0.341, 0.125)
Br (0.002, 0.661, 0.375)
Br (0.339, 0.341, 0.375)
Br (0.339, 0.998, 0.125)
Br (0.341, 0.002, 0.625)
Br (0.341, 0.339, 0.875)
Br (0.659, 0.661, 0.125)
Br (0.659, 0.998, 0.375)
Br (0.661, 0.002, 0.875)
Br (0.661, 0.659, 0.625)
Br (0.998, 0.339, 0.625)
Br (0.998, 0.659, 0.875)



No. 2
DFT (PBE) results for Rb2HoCdBr6 after structural relaxation.

Properties
**Total moment**: 0.30 μB/f.u.
**Formation energy without anion corrections**: -1.487 eV per atom
**VASP energy**: -3.2336 eV/atom

Cell: 8.044 11.616 8.483 Å, 90.00 90.00 90.00°
Fractional positions:
Rb (0.250, 0.029, 0.205)
Rb (0.250, 0.471, 0.205)
Rb (0.750, 0.529, 0.795)
Rb (0.750, 0.971, 0.795)
Ho (0.250, 0.750, 0.771)
Ho (0.750, 0.250, 0.229)
Cd (0.250, 0.250, 0.722)
Cd (0.750, 0.750, 0.278)
Br (0.004, 0.250, 0.451)
Br (0.008, 0.750, 0.010)
Br (0.250, 0.510, 0.778)
Br (0.250, 0.990, 0.778)
Br (0.492, 0.750, 0.010)
Br (0.496, 0.250, 0.451)
Br (0.504, 0.750, 0.549)
Br (0.508, 0.250, 0.990)
Br (0.750, 0.010, 0.222)
Br (0.750, 0.490, 0.222)
Br (0.992, 0.250, 0.990)
Br (0.996, 0.750, 0.549)



No. 3
DFT (PBE) results for RbHoCd2Br8 after structural relaxation.

Properties
**Total moment**: 0.00 μB/f.u.
**Formation energy without anion corrections**: -1.298 eV per atom
**VASP energy**: -3.0279 eV/atom

Cell: 6.971 6.986 9.697 Å, 77.38 78.83 77.75°
Fractional positions:
Rb (0.000, 0.000, 0.000)
Ho (0.000, 0.000, 0.500)
Cd (0.451, 0.438, 0.221)
Cd (0.549, 0.562, 0.779)
Br (0.169, 0.726, 0.723)
Br (0.242, 0.800, 0.290)
Br (0.281, 0.242, 0.475)
Br (0.356, 0.302, 0.012)
Br (0.644, 0.698, 0.988)
Br (0.719, 0.758, 0.525)
Br (0.758, 0.200, 0.710)
Br (0.831, 0.274, 0.277)



No. 4
DFT (PBE) results for RbHoCdBr6 after structural relaxation.

Properties
**Total moment**: 0.00 μB/f.u.
**Formation energy without anion corrections**: -1.526 eV per atom
**VASP energy**: -3.3586 eV/atom

Cell: 7.306 7.306 15.270 Å, 90.00 90.00 120.00°
Fractional positions:
Rb (0.000, 0.000, 0.000)
Rb (0.000, 0.000, 0.500)
Ho (0.333, 0.667, 0.250)
Ho (0.667, 0.333, 0.750)
Cd (0.333, 0.667, 0.750)
Cd (0.667, 0.333, 0.250)
Br (0.002, 0.377, 0.143)
Br (0.002, 0.625, 0.357)
Br (0.375, 0.377, 0.357)
Br (0.375, 0.998, 0.143)
Br (0.377, 0.002, 0.643)
Br (0.377, 0.375, 0.857)
Br (0.623, 0.625, 0.143)
Br (0.623, 0.998, 0.357)
Br (0.625, 0.002, 0.857)
Br (0.625, 0.623, 0.643)
Br (0.998, 0.375, 0.643)
Br (0.998, 0.623, 0.857)



No. 5
DFT (PBE) results for HoTlCdBr6 after structural relaxation.

Properties
**Total moment**: 0.00 μB/f.u.
**Formation energy without anion corrections**: -1.314 eV per atom
**VASP energy**: -3.3021 eV/atom

Cell: 7.279 7.279 14.588 Å, 90.00 90.00 120.00°
Fractional positions:
Ho (0.333, 0.667, 0.250)
Ho (0.667, 0.333, 0.750)
Tl (0.000, 0.000, 0.000)
Tl (0.000, 0.000, 0.500)
Cd (0.333, 0.667, 0.750)
Cd (0.667, 0.333, 0.250)
Br (0.002, 0.372, 0.139)
Br (0.002, 0.630, 0.361)
Br (0.370, 0.372, 0.361)
Br (0.370, 0.998, 0.139)
Br (0.372, 0.002, 0.639)
Br (0.372, 0.370, 0.861)
Br (0.628, 0.630, 0.139)
Br (0.628, 0.998, 0.361)
Br (0.630, 0.002, 0.861)
Br (0.630, 0.628, 0.639)
Br (0.998, 0.370, 0.639)
Br (0.998, 0.628, 0.861)



No. 6
DFT (PBE) results for Cd2IBr2 after structural relaxation.

Properties
**Total moment**: 0.00 μB/f.u.
**Formation energy without anion corrections**: -0.380 eV per atom
**VASP energy**: -1.7254 eV/atom

Cell: 8.483 8.483 4.289 Å, 90.00 90.00 90.00°
Fractional positions:
Cd (0.199, 0.301, 0.000)
Cd (0.301, 0.801, 0.000)
Cd (0.699, 0.199, 0.000)
Cd (0.801, 0.699, 0.000)
I (0.000, 0.000, 0.000)
I (0.500, 0.500, 0.000)
Br (0.144, 0.644, 0.500)
Br (0.356, 0.144, 0.500)
Br (0.644, 0.856, 0.500)
Br (0.856, 0.356, 0.500)



No. 7
DFT (PBE) results for CdIBr2 after structural relaxation.

Properties
**Total moment**: 0.00 μB/f.u.
**Formation energy without anion corrections**: -0.591 eV per atom
**VASP energy**: -2.0433 eV/atom

Cell: 4.169 6.924 11.210 Å, 94.44 93.27 90.15°
Fractional positions:
Cd (0.000, 0.000, 0.000)
Cd (0.500, 0.499, 0.001)
I (0.144, 0.424, 0.473)
I (0.361, 0.075, 0.527)
Br (0.021, 0.685, 0.141)
Br (0.478, 0.814, 0.860)
Br (0.523, 0.183, 0.140)
Br (0.978, 0.316, 0.861)



No. 8
DFT (PBE) results for Cd2IBr2 after structural relaxation.

Properties
**Total moment**: 0.00 μB/f.u.
**Formation energy without anion corrections**: -0.523 eV per atom
**VASP energy**: -1.8684 eV/atom

Cell: 9.970 9.970 9.970 Å, 132.98 132.98 68.69°
Fractional positions:
Cd (0.188, 0.000, 0.188)
Cd (0.750, 0.062, 0.312)
Cd (0.750, 0.438, 0.688)
Cd (0.812, 0.000, 0.812)
I (0.414, 0.914, 0.500)
I (0.664, 0.664, 0.000)
Br (0.408, 0.163, 0.245)
Br (0.913, 0.168, 0.255)
Br (0.913, 0.658, 0.745)
Br (0.918, 0.163, 0.755)



No. 9
DFT (PBE) results for CdI3Br9 after structural relaxation.

Properties
**Total moment**: 0.00 μB/f.u.
**Formation energy without anion corrections**: -0.205 eV per atom
**VASP energy**: -1.7916 eV/atom

Cell: 11.967 11.967 14.638 Å, 116.31 116.31 54.85°
Fractional positions:
Cd (0.226, 0.774, 0.500)
Cd (0.774, 0.226, 0.000)
I (0.175, 0.192, 0.251)
I (0.192, 0.175, 0.751)
I (0.562, 0.726, 0.414)
I (0.726, 0.562, 0.914)
I (0.839, 0.961, 0.333)
I (0.961, 0.839, 0.833)
Br (0.116, 0.739, 0.294)
Br (0.159, 0.603, 0.882)
Br (0.251, 0.380, 0.409)
Br (0.338, 0.558, 0.574)
Br (0.360, 0.967, 0.329)
Br (0.380, 0.251, 0.909)
Br (0.409, 0.873, 0.579)
Br (0.558, 0.338, 0.074)
Br (0.595, 0.706, 0.777)
Br (0.603, 0.159, 0.382)
Br (0.706, 0.595, 0.277)
Br (0.728, 0.913, 0.132)
Br (0.739, 0.116, 0.794)
Br (0.873, 0.409, 0.079)
Br (0.913, 0.728, 0.632)
Br (0.967, 0.360, 0.829)
Br (0.986, 0.993, 0.554)
Br (0.993, 0.986, 0.054)



No. 10
DFT (PBE) results for Cd2IBr3 after structural relaxation.

Properties
**Total moment**: 0.00 μB/f.u.
**Formation energy without anion corrections**: -0.784 eV per atom
**VASP energy**: -2.1838 eV/atom

Cell: 9.254 9.254 14.237 Å, 126.73 126.73 25.89°
Fractional positions:
Cd (0.248, 0.248, 0.123)
Cd (0.252, 0.252, 0.626)
Cd (0.748, 0.748, 0.374)
Cd (0.752, 0.752, 0.877)
I (0.122, 0.122, 0.191)
I (0.878, 0.878, 0.809)
Br (0.144, 0.144, 0.709)
Br (0.358, 0.358, 0.537)
Br (0.360, 0.360, 0.049)
Br (0.640, 0.640, 0.951)
Br (0.642, 0.642, 0.463)
Br (0.856, 0.856, 0.291)



No. 11
DFT (PBE) results for CdI2Br6 after structural relaxation.

Properties
**Total moment**: 0.00 μB/f.u.
**Formation energy without anion corrections**: -0.172 eV per atom
**VASP energy**: -1.7339 eV/atom

Cell: 8.669 8.669 9.353 Å, 106.42 106.42 36.79°
Fractional positions:
Cd (0.000, 0.000, 0.000)
I (0.297, 0.297, 0.210)
I (0.703, 0.703, 0.790)
Br (0.105, 0.105, 0.262)
Br (0.184, 0.184, 0.732)
Br (0.436, 0.436, 0.069)
Br (0.564, 0.564, 0.931)
Br (0.816, 0.816, 0.268)
Br (0.895, 0.895, 0.738)



No. 12
DFT (PBE) results for Cd2IBr3 after structural relaxation.

Properties
**Total moment**: 0.00 μB/f.u.
**Formation energy without anion corrections**: -0.711 eV per atom
**VASP energy**: -2.1107 eV/atom

Cell: 13.494 13.494 8.397 Å, 93.60 93.60 18.52°
Fractional positions:
Cd (0.067, 0.067, 0.018)
Cd (0.314, 0.314, 0.606)
Cd (0.686, 0.686, 0.394)
Cd (0.933, 0.933, 0.982)
I (0.363, 0.363, 0.975)
I (0.637, 0.637, 0.025)
Br (0.001, 0.001, 0.767)
Br (0.240, 0.240, 0.308)
Br (0.395, 0.395, 0.472)
Br (0.605, 0.605, 0.528)
Br (0.760, 0.760, 0.692)
Br (0.999, 0.999, 0.233)



No. 13
DFT (PBE) results for CdIBr2 after structural relaxation.

Properties
**Total moment**: 0.00 μB/f.u.
**Formation energy without anion corrections**: -0.469 eV per atom
**VASP energy**: -1.9218 eV/atom

Cell: 12.735 12.735 12.735 Å, 17.44 17.44 17.44°
Fractional positions:
Cd (0.000, 0.000, 0.000)
I (0.500, 0.500, 0.500)
Br (0.378, 0.378, 0.378)
Br (0.622, 0.622, 0.622)



No. 14
DFT (PBE) results for Cd3IBr after structural relaxation.

Properties
**Total moment**: 0.00 μB/f.u.
**Formation energy without anion corrections**: 0.156 eV per atom
**VASP energy**: -1.0375 eV/atom

Cell: 5.827 5.827 5.827 Å, 90.00 90.00 90.00°
Fractional positions:
Cd (0.000, 0.000, 0.500)
Cd (0.000, 0.500, 0.000)
Cd (0.500, 0.000, 0.000)
I (0.500, 0.500, 0.500)
Br (0.000, 0.000, 0.000)



No. 15
DFT (PBE) results for Cd2I2Br after structural relaxation.

Properties
**Total moment**: 0.00 μB/f.u.
**Formation energy without anion corrections**: -0.457 eV per atom
**VASP energy**: -1.7779 eV/atom

Cell: 8.601 6.248 13.058 Å, 90.00 90.00 90.00°
Fractional positions:
Cd (0.101, 0.250, 0.248)
Cd (0.157, 0.250, 0.577)
Cd (0.343, 0.750, 0.077)
Cd (0.399, 0.750, 0.748)
Cd (0.601, 0.250, 0.252)
Cd (0.657, 0.250, 0.923)
Cd (0.843, 0.750, 0.423)
Cd (0.899, 0.750, 0.752)
I (0.089, 0.750, 0.240)
I (0.146, 0.750, 0.576)
I (0.354, 0.250, 0.076)
I (0.411, 0.250, 0.740)
I (0.589, 0.750, 0.260)
I (0.646, 0.750, 0.924)
I (0.854, 0.250, 0.424)
I (0.911, 0.250, 0.760)
Br (0.156, 0.750, 0.894)
Br (0.344, 0.250, 0.394)
Br (0.656, 0.750, 0.606)
Br (0.844, 0.250, 0.106)



No. 16
DFT (PBE) results for Cd3IBr after structural relaxation.

Properties
**Total moment**: 0.00 μB/f.u.
**Formation energy without anion corrections**: 0.222 eV per atom
**VASP energy**: -0.9719 eV/atom

Cell: 6.096 6.096 6.096 Å, 90.00 90.00 90.00°
Fractional positions:
Cd (0.000, 0.000, 0.500)
Cd (0.000, 0.500, 0.000)
Cd (0.500, 0.000, 0.000)
I (0.000, 0.000, 0.000)
Br (0.500, 0.500, 0.500)



No. 17
DFT (PBE) results for CdIBr2 after structural relaxation.

Properties
**Total moment**: 1.00 μB/f.u.
**Formation energy without anion corrections**: -0.305 eV per atom
**VASP energy**: -1.7573 eV/atom

Cell: 7.351 7.351 7.351 Å, 101.66 101.66 126.58°
Fractional positions:
Cd (0.000, 0.000, 0.000)
Cd (0.750, 0.250, 0.500)
I (0.250, 0.750, 0.500)
I (0.500, 0.500, 0.000)
Br (0.004, 0.125, 0.379)
Br (0.375, 0.996, 0.121)
Br (0.746, 0.625, 0.621)
Br (0.875, 0.254, 0.879)



No. 18
DFT (PBE) results for CdIBr2 after structural relaxation.

Properties
**Total moment**: 1.01 μB/f.u.
**Formation energy without anion corrections**: 0.134 eV per atom
**VASP energy**: -1.3187 eV/atom

Cell: 5.480 5.480 5.480 Å, 60.00 60.00 60.00°
Fractional positions:
Cd (0.000, 0.000, 0.000)
I (0.500, 0.500, 0.500)
Br (0.250, 0.250, 0.250)
Br (0.750, 0.750, 0.750)



No. 19
DFT (PBE) results for CdInIBr2 after structural relaxation.

Properties
**Total moment**: 0.00 μB/f.u.
**Formation energy without anion corrections**: -0.586 eV per atom
**VASP energy**: -2.2956 eV/atom

Cell: 5.499 5.499 5.977 Å, 90.00 90.00 90.00°
Fractional positions:
Cd (0.000, 0.000, 0.000)
In (0.500, 0.500, 0.500)
I (0.000, 0.000, 0.500)
Br (0.000, 0.500, 0.000)
Br (0.500, 0.000, 0.000)



No. 20
DFT (PBE) results for CdInIBr2 after structural relaxation.

Properties
**Total moment**: 0.00 μB/f.u.
**Formation energy without anion corrections**: -0.672 eV per atom
**VASP energy**: -2.3822 eV/atom

Cell: 8.058 6.075 8.737 Å, 90.00 97.16 90.00°
Fractional positions:
Cd (0.091, 0.250, 0.160)
Cd (0.909, 0.750, 0.840)
In (0.268, 0.250, 0.627)
In (0.732, 0.750, 0.373)
I (0.426, 0.250, 0.272)
I (0.574, 0.750, 0.728)
Br (0.049, 0.750, 0.130)
Br (0.097, 0.750, 0.613)
Br (0.903, 0.250, 0.387)
Br (0.951, 0.250, 0.870)